Model P:
A plane-wave DFT calculation with PBE was carried out for a relaxed structure of YZr2Sc.

Cell: 3.2426 5.2201 6.1677 Å, 90.00 102.76 90.00°
Fractional positions:
Y: 0.0000 0.0000 0.0000
Zr: 0.3325 0.5000 0.7257
Zr: 0.6675 0.5000 0.2743
Sc: 0.5000 0.0000 0.5000

Summary:
Total magnetic moment (μB per atom): 0.00
Theoretical density (g/cm3): 5.16
Symmetry: P2/m (10)
DOS(E_F) (states/eV per cell): 6.7

=====

Model Q:
A plane-wave DFT calculation with PBE was carried out for a relaxed structure of YZr2Sc.

Cell: 4.6222 4.6222 4.6998 Å, 90.00 90.00 90.00°
Fractional positions:
Y: 0.0000 0.0000 0.0000
Zr: 0.0000 0.5000 0.5000
Zr: 0.5000 0.0000 0.5000
Sc: 0.5000 0.5000 0.0000

Summary:
Total magnetic moment (μB per atom): 0.00
Theoretical density (g/cm3): 5.23
Symmetry: P4/mmm (123)
DOS(E_F) (states/eV per cell): 5.1

=====

model Q comes first in stability; the runner-up is 50 meV/atom higher.